1.
First-principles (PBE-GGA) data for PaTlAsO after structural relaxation, as listed in the Open Quantum Materials Database.

Computed properties:
* crystal system: tetragonal
* magnetic moment: 0.33 μB per formula unit

Cell lengths 4.736, 4.736, 7.005 Å; angles 90.00, 90.00, 90.00 degrees
Atoms (fractional coordinates):
As1 0.750 0.750 0.281
As2 0.250 0.250 0.719
O1 0.750 0.250 0.000
O2 0.250 0.750 0.000
Pa1 0.750 0.250 0.500
Pa2 0.250 0.750 0.500
Tl1 0.250 0.250 0.129
Tl2 0.750 0.750 0.871


2.
First-principles (PBE-GGA) data for PaTlAsO after structural relaxation, as listed in the Open Quantum Materials Database.

Computed properties:
* crystal system: tetragonal
* magnetic moment: 0.95 μB per formula unit

Cell lengths 4.092, 4.092, 10.494 Å; angles 90.00, 90.00, 90.00 degrees
Atoms (fractional coordinates):
As1 0.750 0.750 0.251
As2 0.250 0.250 0.749
O1 0.750 0.250 0.000
O2 0.250 0.750 0.000
Pa1 0.250 0.250 0.123
Pa2 0.750 0.750 0.877
Tl1 0.750 0.250 0.500
Tl2 0.250 0.750 0.500


2 comes first in stability; the runner-up is 1063 meV/atom higher.